## LiCr2InF (PBE with a Hubbard U)

Data for a relaxed LiCr2InF crystal.

Values from the calculation:
Space-group type ... P4/mmm
N(E_F) ... 1.98 states/eV/f.u.
Calculated density ... 3.7 g cm⁻³
E ... -3.978 eV/atom

Geometry as POSCAR:
```
LiCr2InF
1.0
-3.178 -3.349 0.890
2.284 -1.035 4.264
-2.700 3.150 2.211
Cr F Li In
2 1 1 1
direct
0.000 0.000 0.500
0.500 0.000 0.000
0.500 0.500 0.500
0.000 0.000 0.000
0.000 0.500 0.000
```